VASP calculation (PBE) on an optimized crystal structure of Te2PWN.

Computed properties:
excess energy over the best structure of this formula in the dataset: 0 meV/atom

Unit cell a=5.381 b=5.381 c=3.803 alpha=90.00 beta=90.00 gamma=90.00
Element x y z (fractional)
Te (0.000, 0.500, 0.000)
Te (0.500, 0.000, 0.000)
P (0.000, 0.000, 0.500)
W (0.500, 0.500, 0.000)
N (0.500, 0.500, 0.500)

***

VASP calculation (PBE) on an optimized crystal structure of TePWN2.

Computed properties:
excess energy over the best structure of this formula in the dataset: 1146 meV/atom

Unit cell a=3.781 b=3.781 c=5.181 alpha=90.00 beta=90.00 gamma=90.00
Element x y z (fractional)
Te (0.000, 0.000, 0.000)
P (0.000, 0.000, 0.500)
W (0.500, 0.500, 0.000)
N (0.000, 0.500, 0.500)
N (0.500, 0.000, 0.500)

***

VASP calculation (PBE) on an optimized crystal structure of YTePN2.

Computed properties:
excess energy over the best structure of this formula in the dataset: 0 meV/atom

Unit cell a=4.024 b=4.024 c=5.124 alpha=90.00 beta=90.00 gamma=90.00
Element x y z (fractional)
Y (0.000, 0.000, 0.000)
Te (0.500, 0.500, 0.000)
P (0.500, 0.500, 0.500)
N (0.000, 0.500, 0.500)
N (0.500, 0.000, 0.500)

***

VASP calculation (PBE) on an optimized crystal structure of Y8Te3P3N.

Unit cell a=8.466 b=8.466 c=8.466 alpha=56.58 beta=56.58 gamma=56.58
Element x y z (fractional)
Y (0.235, 0.235, 0.235)
Y (0.261, 0.716, 0.716)
Y (0.284, 0.284, 0.739)
Y (0.284, 0.739, 0.284)
Y (0.716, 0.261, 0.716)
Y (0.716, 0.716, 0.261)
Y (0.739, 0.284, 0.284)
Y (0.765, 0.765, 0.765)
Te (0.000, 0.500, 0.500)
Te (0.500, 0.000, 0.500)
Te (0.500, 0.500, 0.000)
P (0.000, 0.000, 0.500)
P (0.000, 0.500, 0.000)
P (0.500, 0.000, 0.000)
N (0.500, 0.500, 0.500)

***

VASP calculation (PBE) on an optimized crystal structure of Y4Te2PN.

Unit cell a=6.859 b=3.955 c=7.356 alpha=90.00 beta=108.03 gamma=90.00
Element x y z (fractional)
Y (0.213, 0.000, 0.193)
Y (0.243, 0.500, 0.803)
Y (0.757, 0.500, 0.197)
Y (0.787, 0.000, 0.807)
Te (0.000, 0.000, 0.500)
Te (0.500, 0.500, 0.500)
P (0.500, 0.000, 0.000)
N (0.000, 0.500, 0.000)

***

VASP calculation (PBE) on an optimized crystal structure of YTePN2.

Computed properties:
excess energy over the best structure of this formula in the dataset: 418 meV/atom

Unit cell a=4.366 b=4.366 c=6.489 alpha=90.00 beta=90.00 gamma=90.00
Element x y z (fractional)
Y (0.000, 0.000, 0.000)
Te (0.000, 0.000, 0.500)
P (0.500, 0.500, 0.500)
N (0.000, 0.500, 0.000)
N (0.500, 0.000, 0.000)

***

VASP calculation (PBE) on an optimized crystal structure of YTe2PN.

Computed properties:
excess energy over the best structure of this formula in the dataset: 0 meV/atom

Unit cell a=5.716 b=5.716 c=3.385 alpha=90.00 beta=90.00 gamma=90.00
Element x y z (fractional)
Y (0.000, 0.000, 0.000)
Te (0.000, 0.500, 0.500)
Te (0.500, 0.000, 0.500)
P (0.500, 0.500, 0.500)
N (0.500, 0.500, 0.000)

***

VASP calculation (PBE) on an optimized crystal structure of YTe2PN.

Computed properties:
excess energy over the best structure of this formula in the dataset: 720 meV/atom

Unit cell a=5.938 b=5.938 c=4.077 alpha=90.00 beta=90.00 gamma=90.00
Element x y z (fractional)
Y (0.000, 0.000, 0.000)
Te (0.000, 0.500, 0.000)
Te (0.500, 0.000, 0.000)
P (0.500, 0.500, 0.500)
N (0.000, 0.000, 0.500)

***

VASP calculation (PBE) on an optimized crystal structure of ZnTePN2.

Computed properties:
excess energy over the best structure of this formula in the dataset: 714 meV/atom

Unit cell a=3.873 b=3.873 c=6.652 alpha=90.00 beta=90.00 gamma=90.00
Element x y z (fractional)
Zn (0.000, 0.000, 0.000)
Te (0.000, 0.000, 0.500)
P (0.500, 0.500, 0.500)
N (0.000, 0.500, 0.000)
N (0.500, 0.000, 0.000)

***

VASP calculation (PBE) on an optimized crystal structure of ZnTePN2.

Computed properties:
excess energy over the best structure of this formula in the dataset: 0 meV/atom

Unit cell a=3.553 b=3.553 c=6.842 alpha=90.00 beta=90.00 gamma=90.00
Element x y z (fractional)
Zn (0.000, 0.000, 0.000)
Te (0.500, 0.500, 0.000)
P (0.500, 0.500, 0.500)
N (0.000, 0.500, 0.500)
N (0.500, 0.000, 0.500)

***

VASP calculation (PBE) on an optimized crystal structure of Th4P3N2.

Unit cell a=6.852 b=6.852 c=9.160 alpha=122.63 beta=122.63 gamma=34.22
Element x y z (fractional)
Th (0.102, 0.102, 0.392)
Th (0.314, 0.314, 0.887)
Th (0.686, 0.686, 0.113)
Th (0.898, 0.898, 0.608)
P (0.000, 0.000, 0.000)
P (0.383, 0.383, 0.277)
P (0.617, 0.617, 0.723)
N (0.313, 0.313, 0.637)
N (0.687, 0.687, 0.363)

***

VASP calculation (PBE) on an optimized crystal structure of Th3PN6.

Unit cell a=7.516 b=7.516 c=5.548 alpha=90.00 beta=90.00 gamma=103.31
Element x y z (fractional)
Th (0.105, 0.895, 0.500)
Th (0.196, 0.412, 0.527)
Th (0.412, 0.196, 0.027)
Th (0.588, 0.804, 0.527)
Th (0.804, 0.588, 0.027)
Th (0.895, 0.105, 0.000)
P (0.308, 0.692, 0.074)
P (0.692, 0.308, 0.574)
N (0.104, 0.613, 0.205)
N (0.151, 0.166, 0.270)
N (0.166, 0.151, 0.770)
N (0.291, 0.709, 0.775)
N (0.387, 0.896, 0.205)
N (0.441, 0.559, 0.174)
N (0.559, 0.441, 0.674)
N (0.613, 0.104, 0.705)
N (0.709, 0.291, 0.275)
N (0.834, 0.849, 0.270)
N (0.849, 0.834, 0.770)
N (0.896, 0.387, 0.705)

***

Number 1: final energy -5.989 eV/atom. Number 2: final energy -5.809 eV/atom. Number 3: final energy -5.668 eV/atom. Number 4: final energy -7.091 eV/atom. Number 5: final energy -7.173 eV/atom. Number 6: final energy -5.251 eV/atom. Number 7: final energy -5.300 eV/atom. Number 8: final energy -4.581 eV/atom. Number 9: final energy -3.664 eV/atom. Number 10: final energy -4.378 eV/atom. Number 11: final energy -8.501 eV/atom. Number 12: final energy -9.063 eV/atom.